# 1
The following is a GGA-PBE calculation of a geometry-optimized Tl2VZnMo structure, from the Alexandria database.

a b c (Å): 5.3886 5.3886 4.3540
angles (deg): 90.00 90.00 90.00
Fractional coordinates of all 5 atoms:
Tl 0.0000 0.5000 0.0000
Tl 0.5000 0.0000 0.0000
V 0.0000 0.0000 0.0000
Zn 0.5000 0.5000 0.5000
Mo 0.0000 0.0000 0.5000

Summary:
Formation energy: 1.010 eV/atom
DOS(E_F): 3.80 states/eV/cell

# 2
The following is a GGA-PBE calculation of a geometry-optimized TlMo3W structure, from the Alexandria database.

a b c (Å): 4.8491 4.8491 4.8491
angles (deg): 90.00 90.00 90.00
Fractional coordinates of all 5 atoms:
Tl 0.0000 0.0000 0.0000
Mo 0.0000 0.0000 0.5000
Mo 0.0000 0.5000 0.0000
Mo 0.5000 0.0000 0.0000
W 0.5000 0.5000 0.5000

Summary:
Formation energy: 3.092 eV/atom
DOS(E_F): 10.57 states/eV/cell
Offset from the most stable computed form: 1.389 eV/atom

# 3
The following is a GGA-PBE calculation of a geometry-optimized Tl2MoW structure, from the Alexandria database.

a b c (Å): 3.2685 4.8108 4.9680
angles (deg): 90.00 90.00 90.00
Fractional coordinates of all 4 atoms:
Tl 0.0000 0.0000 0.0000
Tl 0.5000 0.0000 0.5000
Mo 0.0000 0.5000 0.5000
W 0.5000 0.5000 0.0000

Summary:
Formation energy: 1.017 eV/atom
DOS(E_F): 2.84 states/eV/cell
Offset from the most stable computed form: 0.473 eV/atom

no.,DFT total energy (eV/atom)
1,-4.18
2,-6.47
3,-6.11